(1)
! La2MgRuPb PBE relaxed; values from VASP
&SYSTEM
  ibrav = 0, nat = 5, ntyp = 4
/
ATOMIC_SPECIES
La 138.91 La.upf
Mg 24.30 Mg.upf
Ru 101.07 Ru.upf
Pb 207.20 Pb.upf
CELL_PARAMETERS angstrom
5.440 0.000 0.000
0.000 5.440 0.000
0.000 0.000 5.360
ATOMIC_POSITIONS crystal
La 0.000 0.500 0.000
La 0.500 0.000 0.000
Mg 0.000 0.000 0.500
Ru 0.500 0.500 0.000
Pb 0.500 0.500 0.500
! * energy of formation from the pure elements: -0.208 eV/atom
! * crystal system: tetragonal
! * energy above the most stable polymorph in this dataset: 2.652 kcal/mol of atoms
! * D(E_F): 4.842 states/eV per cell

***

(2)
! Sr3Ga2N4 PBE relaxed; values from VASP
&SYSTEM
  ibrav = 0, nat = 18, ntyp = 3
/
ATOMIC_SPECIES
Sr 87.62 Sr.upf
Ga 69.72 Ga.upf
N 14.01 N.upf
CELL_PARAMETERS angstrom
5.661 -4.400 0.000
5.661 4.400 0.000
-0.244 0.000 5.814
ATOMIC_POSITIONS crystal
Sr 0.102 0.898 0.750
Sr 0.242 0.515 0.441
Sr 0.485 0.758 0.059
Sr 0.515 0.242 0.941
Sr 0.758 0.485 0.559
Sr 0.898 0.102 0.250
Ga 0.087 0.324 0.917
Ga 0.324 0.087 0.417
Ga 0.676 0.913 0.583
Ga 0.913 0.676 0.083
N 0.090 0.239 0.585
N 0.194 0.559 0.982
N 0.239 0.090 0.085
N 0.441 0.806 0.518
N 0.559 0.194 0.482
N 0.761 0.910 0.915
N 0.806 0.441 0.018
N 0.910 0.761 0.415
! * crystal system: monoclinic
! * energy above the most stable polymorph in this dataset: 0.362 kcal/mol of atoms
! * E_form (uncorrected): -0.5956 eV/atom
! * D(E_F): 0.000 states/eV per cell

***

(3)
! LaTaW2 PBE relaxed; values from VASP
&SYSTEM
  ibrav = 0, nat = 4, ntyp = 3
/
ATOMIC_SPECIES
La 138.91 La.upf
Ta 180.95 Ta.upf
W 183.84 W.upf
CELL_PARAMETERS angstrom
2.961 -4.775 0.000
2.961 4.775 0.000
-0.968 0.000 2.716
ATOMIC_POSITIONS crystal
La 0.000 0.000 0.000
Ta 0.500 0.500 0.000
W 0.000 0.500 0.500
W 0.500 0.000 0.500
! * energy of formation from the pure elements: 0.693 eV/atom
! * crystal system: monoclinic
! * energy above the most stable polymorph in this dataset: 7.206 kcal/mol of atoms
! * D(E_F): 4.516 states/eV per cell

***

(4)
! La11Tb4Er9 PBE relaxed; values from VASP
&SYSTEM
  ibrav = 0, nat = 24, ntyp = 3
/
ATOMIC_SPECIES
La 138.91 La.upf
Tb 158.93 Tb.upf
Er 167.26 Er.upf
CELL_PARAMETERS angstrom
8.555 -12.953 0.000
8.555 12.953 0.000
0.000 0.000 3.706
ATOMIC_POSITIONS crystal
La 0.000 0.000 0.000
La 0.043 0.405 0.000
La 0.160 0.840 0.000
La 0.292 0.292 0.000
La 0.368 0.632 0.000
La 0.405 0.043 0.000
La 0.595 0.957 0.000
La 0.632 0.368 0.000
La 0.708 0.708 0.000
La 0.840 0.160 0.000
La 0.957 0.595 0.000
Tb 0.241 0.444 0.500
Tb 0.444 0.241 0.500
Tb 0.556 0.759 0.500
Tb 0.759 0.556 0.500
Er 0.068 0.213 0.500
Er 0.166 0.632 0.500
Er 0.213 0.068 0.500
Er 0.368 0.834 0.500
Er 0.500 0.500 0.500
Er 0.632 0.166 0.500
Er 0.787 0.932 0.500
Er 0.834 0.368 0.500
Er 0.932 0.787 0.500
! * energy of formation from the pure elements: 0.069 eV/atom
! * crystal system: orthorhombic
! * D(E_F): 34.724 states/eV per cell

***

(5)
! TaAs2Pt PBE relaxed; values from VASP
&SYSTEM
  ibrav = 0, nat = 4, ntyp = 3
/
ATOMIC_SPECIES
Ta 180.95 Ta.upf
As 74.92 As.upf
Pt 195.08 Pt.upf
CELL_PARAMETERS angstrom
1.489 0.860 10.062
-1.489 0.860 10.062
0.000 -1.720 10.062
ATOMIC_POSITIONS crystal
Ta 0.000 0.000 0.000
As 0.262 0.262 0.262
As 0.477 0.477 0.477
Pt 0.742 0.742 0.742
! * energy of formation from the pure elements: -0.036 eV/atom
! * crystal system: trigonal
! * energy above the most stable polymorph in this dataset: 6.131 kcal/mol of atoms
! * D(E_F): 5.918 states/eV per cell

***

(6)
! Ta2AlAs PBE relaxed; values from VASP
&SYSTEM
  ibrav = 0, nat = 4, ntyp = 3
/
ATOMIC_SPECIES
Ta 180.95 Ta.upf
Al 26.98 Al.upf
As 74.92 As.upf
CELL_PARAMETERS angstrom
1.491 0.861 8.964
-1.491 0.861 8.964
0.000 -1.722 8.964
ATOMIC_POSITIONS crystal
Ta 0.247 0.247 0.247
Ta 0.753 0.753 0.753
Al 0.000 0.000 0.000
As 0.500 0.500 0.500
! * energy of formation from the pure elements: 0.000 eV/atom
! * crystal system: trigonal
! * energy above the most stable polymorph in this dataset: 4.983 kcal/mol of atoms
! * D(E_F): 2.029 states/eV per cell

***

(7)
! ZnFeBr2 PBE relaxed; values from VASP
&SYSTEM
  ibrav = 0, nat = 8, ntyp = 3
/
ATOMIC_SPECIES
Zn 65.41 Zn.upf
Fe 55.84 Fe.upf
Br 79.90 Br.upf
CELL_PARAMETERS angstrom
-3.730 3.730 4.969
3.730 -3.730 4.969
3.730 3.730 -4.969
ATOMIC_POSITIONS crystal
Zn 0.000 0.000 0.000
Zn 0.750 0.250 0.500
Fe 0.250 0.750 0.500
Fe 0.500 0.500 0.000
Br 0.242 0.625 0.117
Br 0.375 0.492 0.617
Br 0.508 0.125 0.883
Br 0.875 0.758 0.383
! * crystal system: tetragonal
! * energy above the most stable polymorph in this dataset: 2.638 kcal/mol of atoms
! * E_form (uncorrected): 0.0165 eV/atom
! * D(E_F): 6.062 states/eV per cell

***

(8)
! Nd4NiRhI2 PBE relaxed; values from VASP
&SYSTEM
  ibrav = 0, nat = 8, ntyp = 4
/
ATOMIC_SPECIES
Nd 144.24 Nd.upf
Ni 58.69 Ni.upf
Rh 102.91 Rh.upf
I 126.90 I.upf
CELL_PARAMETERS angstrom
7.215 0.000 0.000
0.000 4.165 0.000
-2.403 0.000 8.124
ATOMIC_POSITIONS crystal
Nd 0.225 0.000 0.183
Nd 0.268 0.500 0.816
Nd 0.732 0.500 0.184
Nd 0.775 0.000 0.817
Ni 0.000 0.500 0.000
Rh 0.500 0.000 0.000
I 0.000 0.000 0.500
I 0.500 0.500 0.500
! * crystal system: monoclinic
! * E_form (uncorrected): -0.8052 eV/atom
! * D(E_F): 4.273 states/eV per cell

***

(9)
! BaLa3N PBE relaxed; values from VASP
&SYSTEM
  ibrav = 0, nat = 5, ntyp = 3
/
ATOMIC_SPECIES
Ba 137.33 Ba.upf
La 138.91 La.upf
N 14.01 N.upf
CELL_PARAMETERS angstrom
5.889 0.000 0.000
0.000 5.889 0.000
0.000 0.000 5.889
ATOMIC_POSITIONS crystal
Ba 0.000 0.000 0.000
La 0.000 0.000 0.500
La 0.000 0.500 0.000
La 0.500 0.000 0.000
N 0.500 0.500 0.500
! * crystal system: cubic
! * energy above the most stable polymorph in this dataset: 49.485 kcal/mol of atoms
! * E_form (uncorrected): 1.8095 eV/atom
! * D(E_F): 11.529 states/eV per cell

***

(10)
! NdThGa2 PBE relaxed; values from VASP
&SYSTEM
  ibrav = 0, nat = 4, ntyp = 3
/
ATOMIC_SPECIES
Nd 144.24 Nd.upf
Th 232.04 Th.upf
Ga 69.72 Ga.upf
CELL_PARAMETERS angstrom
3.478 0.000 0.000
0.000 3.478 0.000
0.000 0.000 8.286
ATOMIC_POSITIONS crystal
Nd 0.000 0.000 0.000
Th 0.000 0.000 0.500
Ga 0.500 0.500 0.248
Ga 0.500 0.500 0.752
! * energy of formation from the pure elements: -0.477 eV/atom
! * crystal system: tetragonal
! * energy above the most stable polymorph in this dataset: 1.576 kcal/mol of atoms
! * D(E_F): 2.791 states/eV per cell

***

(11)
! LiCe4Mg4 PBE relaxed; values from VASP
&SYSTEM
  ibrav = 0, nat = 9, ntyp = 3
/
ATOMIC_SPECIES
Li 6.94 Li.upf
Ce 140.12 Ce.upf
Mg 24.30 Mg.upf
CELL_PARAMETERS angstrom
-5.617 5.617 1.794
5.617 -5.617 1.794
5.617 5.617 -1.794
ATOMIC_POSITIONS crystal
Li 0.000 0.000 0.000
Ce 0.000 0.353 0.353
Ce 0.000 0.647 0.647
Ce 0.353 0.000 0.353
Ce 0.647 0.000 0.647
Mg 0.334 0.334 0.668
Mg 0.334 0.666 0.000
Mg 0.666 0.334 0.000
Mg 0.666 0.666 0.332
! * energy of formation from the pure elements: 0.070 eV/atom
! * crystal system: tetragonal
! * D(E_F): 15.817 states/eV per cell

***

(12)
! TiSiO2 PBE relaxed; values from VASP
&SYSTEM
  ibrav = 0, nat = 8, ntyp = 3
/
ATOMIC_SPECIES
Ti 47.87 Ti.upf
Si 28.09 Si.upf
O 16.00 O.upf
CELL_PARAMETERS angstrom
-2.643 2.643 4.562
2.643 -2.643 4.562
2.643 2.643 -4.562
ATOMIC_POSITIONS crystal
Ti 0.000 0.000 0.000
Ti 0.750 0.250 0.500
Si 0.250 0.750 0.500
Si 0.500 0.500 0.000
O 0.375 0.238 0.363
O 0.762 0.125 0.137
O 0.875 0.012 0.637
O 0.988 0.625 0.863
! * crystal system: tetragonal
! * E_form (uncorrected): -1.4329 eV/atom
! * D(E_F): 2.857 states/eV per cell

***

(13)
! LiNbNiI2 PBE relaxed; values from VASP
&SYSTEM
  ibrav = 0, nat = 5, ntyp = 4
/
ATOMIC_SPECIES
Li 6.94 Li.upf
Nb 92.91 Nb.upf
Ni 58.69 Ni.upf
I 126.90 I.upf
CELL_PARAMETERS angstrom
5.002 0.000 0.000
0.000 5.002 0.000
0.000 0.000 4.805
ATOMIC_POSITIONS crystal
Li 0.000 0.000 0.000
Nb 0.000 0.000 0.500
Ni 0.500 0.500 0.500
I 0.000 0.500 0.000
I 0.500 0.000 0.000
! * crystal system: tetragonal
! * E_form (uncorrected): 1.1268 eV/atom
! * D(E_F): 8.366 states/eV per cell

***

(14)
! KScPb2 PBE relaxed; values from VASP
&SYSTEM
  ibrav = 0, nat = 4, ntyp = 3
/
ATOMIC_SPECIES
K 39.10 K.upf
Sc 44.96 Sc.upf
Pb 207.20 Pb.upf
CELL_PARAMETERS angstrom
2.491 -2.880 0.000
2.491 2.880 0.000
0.000 0.000 9.579
ATOMIC_POSITIONS crystal
K 0.000 0.000 0.000
Sc 0.500 0.500 0.335
Pb 0.000 0.000 0.499
Pb 0.500 0.500 0.709
! * energy of formation from the pure elements: 0.112 eV/atom
! * crystal system: orthorhombic
! * energy above the most stable polymorph in this dataset: 9.152 kcal/mol of atoms
! * D(E_F): 4.009 states/eV per cell

***

(15)
! Li4H4Pd3 PBE relaxed; values from VASP
&SYSTEM
  ibrav = 0, nat = 11, ntyp = 3
/
ATOMIC_SPECIES
Li 6.94 Li.upf
H 1.01 H.upf
Pd 106.42 Pd.upf
CELL_PARAMETERS angstrom
-1.421 3.598 5.738
1.421 -3.598 5.738
1.421 3.598 -5.738
ATOMIC_POSITIONS crystal
Li 0.033 0.840 0.193
Li 0.353 0.160 0.193
Li 0.647 0.840 0.807
Li 0.967 0.160 0.807
H 0.157 0.000 0.157
H 0.274 0.774 0.500
H 0.726 0.226 0.500
H 0.843 0.000 0.843
Pd 0.000 0.500 0.500
Pd 0.368 0.368 0.000
Pd 0.632 0.632 0.000
! * crystal system: orthorhombic
! * D(E_F): 1.406 states/eV per cell

***

(16)
! SmNpSN2 PBE relaxed; values from VASP
&SYSTEM
  ibrav = 0, nat = 5, ntyp = 4
/
ATOMIC_SPECIES
Sm 150.36 Sm.upf
Np 237.00 Np.upf
S 32.06 S.upf
N 14.01 N.upf
CELL_PARAMETERS angstrom
-1.895 1.895 6.065
1.895 -1.895 6.065
1.895 1.895 -6.065
ATOMIC_POSITIONS crystal
Sm 0.000 0.000 0.000
Np 0.305 0.305 0.000
S 0.646 0.646 0.000
N 0.386 0.886 0.500
N 0.886 0.386 0.500
! * crystal system: tetragonal
! * E_form (uncorrected): -1.3563 eV/atom
! * D(E_F): 5.576 states/eV per cell

***

(17)
! Er2Tm7Zr2 PBE relaxed; values from VASP
&SYSTEM
  ibrav = 0, nat = 11, ntyp = 3
/
ATOMIC_SPECIES
Er 167.26 Er.upf
Tm 168.93 Tm.upf
Zr 91.22 Zr.upf
CELL_PARAMETERS angstrom
5.444 -5.520 0.000
5.444 5.520 0.000
-2.259 0.000 5.316
ATOMIC_POSITIONS crystal
Er 0.225 0.775 0.000
Er 0.775 0.225 0.000
Tm 0.000 0.000 0.500
Tm 0.059 0.593 0.334
Tm 0.243 0.243 0.098
Tm 0.407 0.941 0.666
Tm 0.593 0.059 0.334
Tm 0.757 0.757 0.902
Tm 0.941 0.407 0.666
Zr 0.427 0.427 0.705
Zr 0.573 0.573 0.295
! * energy of formation from the pure elements: 0.246 eV/atom
! * crystal system: monoclinic
! * D(E_F): 15.732 states/eV per cell

***

(18)
! Cs2PS PBE relaxed; values from VASP
&SYSTEM
  ibrav = 0, nat = 4, ntyp = 3
/
ATOMIC_SPECIES
Cs 132.91 Cs.upf
P 30.97 P.upf
S 32.06 S.upf
CELL_PARAMETERS angstrom
0.000 4.202 4.202
4.202 0.000 4.202
4.202 4.202 0.000
ATOMIC_POSITIONS crystal
Cs 0.250 0.250 0.250
Cs 0.750 0.750 0.750
P 0.000 0.000 0.000
S 0.500 0.500 0.500
! * crystal system: cubic
! * E_form (uncorrected): -0.0084 eV/atom
! * D(E_F): 0.061 states/eV per cell

***

(19)
! Fe2PbW PBE relaxed; values from VASP
&SYSTEM
  ibrav = 0, nat = 4, ntyp = 3
/
ATOMIC_SPECIES
Fe 55.84 Fe.upf
Pb 207.20 Pb.upf
W 183.84 W.upf
CELL_PARAMETERS angstrom
3.018 0.000 0.000
0.000 2.974 0.000
-1.500 0.000 7.565
ATOMIC_POSITIONS crystal
Fe 0.000 0.000 0.000
Fe 0.412 0.500 0.824
Pb 0.168 0.500 0.327
W 0.817 0.000 0.632
! * energy of formation from the pure elements: 0.536 eV/atom
! * crystal system: monoclinic
! * D(E_F): 3.400 states/eV per cell

***

(20)
! TbY2TmTe6 PBE relaxed; values from VASP
&SYSTEM
  ibrav = 0, nat = 10, ntyp = 4
/
ATOMIC_SPECIES
Tb 158.93 Tb.upf
Y 88.91 Y.upf
Tm 168.93 Tm.upf
Te 127.60 Te.upf
CELL_PARAMETERS angstrom
3.841 2.217 7.016
-3.841 2.217 7.016
0.000 -4.435 7.016
ATOMIC_POSITIONS crystal
Tb 0.000 0.000 0.000
Y 0.314 0.314 0.314
Y 0.814 0.814 0.814
Tm 0.499 0.499 0.499
Te 0.096 0.720 0.407
Te 0.225 0.593 0.902
Te 0.407 0.096 0.720
Te 0.593 0.902 0.225
Te 0.720 0.407 0.096
Te 0.902 0.225 0.593
! * crystal system: trigonal
! * E_form (uncorrected): -1.3676 eV/atom

***

(21)
! UTl2OsO6 PBE relaxed; values from VASP
&SYSTEM
  ibrav = 0, nat = 10, ntyp = 4
/
ATOMIC_SPECIES
U 238.03 U.upf
Tl 204.38 Tl.upf
Os 190.23 Os.upf
O 16.00 O.upf
CELL_PARAMETERS angstrom
6.182 -2.925 0.000
6.182 2.925 0.000
-1.508 0.000 5.006
ATOMIC_POSITIONS crystal
U 0.000 0.000 0.000
Tl 0.277 0.277 0.773
Tl 0.723 0.723 0.227
Os 0.500 0.500 0.500
O 0.149 0.149 0.236
O 0.219 0.673 0.239
O 0.327 0.781 0.761
O 0.673 0.219 0.239
O 0.781 0.327 0.761
O 0.851 0.851 0.764
! * crystal system: monoclinic
! * E_form (uncorrected): -1.6631 eV/atom
! * D(E_F): 3.468 states/eV per cell

***

(22)
! Na3As2H PBE relaxed; values from VASP
&SYSTEM
  ibrav = 0, nat = 24, ntyp = 3
/
ATOMIC_SPECIES
Na 22.99 Na.upf
As 74.92 As.upf
H 1.01 H.upf
CELL_PARAMETERS angstrom
6.803 0.000 0.000
0.000 9.321 0.000
-3.411 0.000 8.842
ATOMIC_POSITIONS crystal
Na 0.104 0.149 0.465
Na 0.104 0.351 0.965
Na 0.252 0.028 0.108
Na 0.252 0.472 0.608
Na 0.282 0.713 0.367
Na 0.282 0.787 0.867
Na 0.718 0.213 0.133
Na 0.718 0.287 0.633
Na 0.748 0.528 0.392
Na 0.748 0.972 0.892
Na 0.896 0.649 0.035
Na 0.896 0.851 0.535
As 0.074 0.081 0.772
As 0.074 0.419 0.272
As 0.415 0.203 0.796
As 0.415 0.297 0.296
As 0.585 0.703 0.704
As 0.585 0.797 0.204
As 0.926 0.581 0.728
As 0.926 0.919 0.228
H 0.411 0.155 0.385
H 0.411 0.345 0.885
H 0.589 0.655 0.115
H 0.589 0.845 0.615
! * crystal system: monoclinic

***

(23)
! MgRu2Br PBE relaxed; values from VASP
&SYSTEM
  ibrav = 0, nat = 4, ntyp = 3
/
ATOMIC_SPECIES
Mg 24.30 Mg.upf
Ru 101.07 Ru.upf
Br 79.90 Br.upf
CELL_PARAMETERS angstrom
2.952 0.000 0.000
0.000 4.705 0.000
0.000 0.000 4.745
ATOMIC_POSITIONS crystal
Mg 0.000 0.000 0.000
Ru 0.000 0.500 0.500
Ru 0.500 0.500 0.000
Br 0.500 0.000 0.500
! * crystal system: orthorhombic
! * energy above the most stable polymorph in this dataset: 10.183 kcal/mol of atoms
! * E_form (uncorrected): 0.5568 eV/atom
! * D(E_F): 3.919 states/eV per cell

***

(24)
! CsCu3Br PBE relaxed; values from VASP
&SYSTEM
  ibrav = 0, nat = 5, ntyp = 3
/
ATOMIC_SPECIES
Cs 132.91 Cs.upf
Cu 63.55 Cu.upf
Br 79.90 Br.upf
CELL_PARAMETERS angstrom
5.585 0.000 0.000
0.000 5.585 0.000
0.000 0.000 5.585
ATOMIC_POSITIONS crystal
Cs 0.000 0.000 0.000
Cu 0.000 0.000 0.500
Cu 0.000 0.500 0.000
Cu 0.500 0.000 0.000
Br 0.500 0.500 0.500
! * crystal system: cubic
! * energy above the most stable polymorph in this dataset: 17.175 kcal/mol of atoms
! * E_form (uncorrected): 1.4979 eV/atom
! * D(E_F): 3.096 states/eV per cell

***

Number 1: E -5.095 eV/atom. Number 2: E -5.529 eV/atom. Number 3: E -9.979 eV/atom. Number 4: E -4.672 eV/atom. Number 5: E -6.834 eV/atom. Number 6: E -8.025 eV/atom. Number 7: E -3.254 eV/atom. Number 8: E -5.218 eV/atom. Number 9: E -3.197 eV/atom. Number 10: E -5.037 eV/atom. Number 11: E -3.488 eV/atom. Number 12: E -7.241 eV/atom. Number 13: E -3.046 eV/atom. Number 14: E -3.599 eV/atom. Number 15: E -3.585 eV/atom. Number 16: E -9.044 eV/atom. Number 17: E -4.983 eV/atom. Number 18: E -2.819 eV/atom. Number 19: E -7.860 eV/atom. Number 20: E -5.456 eV/atom. Number 21: E -7.363 eV/atom. Number 22: E -3.058 eV/atom. Number 23: E -4.898 eV/atom. Number 24: E -1.465 eV/atom.